# HoTmCSe (PBE, relaxed)
# Energy: -6.62 eV per atom
data_HoTmCSe
_cell_length_a 3.7181
_cell_length_b 3.7181
_cell_length_c 13.1233
_cell_angle_alpha 90.00
_cell_angle_beta 90.00
_cell_angle_gamma 120.00
_space_group_name_H-M_alt 'P 63 m c'
_space_group_IT_number 186
_space_group_name_Hall 'P 6c -2c'
loop_
_atom_site_label
_atom_site_fract_x
_atom_site_fract_y
_atom_site_fract_z
Ho1 0.3333 0.6667 0.0000
Tm1 0.3333 0.6667 0.6994
C1 0.0000 0.0000 0.1005
Se1 0.3333 0.6667 0.3480